A geometry-optimized ScTl3 structure, computed with PBE.

POSCAR file:
```
ScTl3
1.0
3.413 0.000 0.000
0.000 3.367 0.000
0.000 0.000 9.942
Sc Tl
1 3
Cartesian
0.000 0.000 9.711
1.707 1.684 1.740
1.707 0.000 7.143
0.000 1.684 4.604
```

Calculated values
Symmetry   Pmm2 (25)
E_form   0.056 eV per atom

---

A geometry-optimized Be2InC structure, computed with PBE.

POSCAR file:
```
Be2InC
1.0
5.489 0.000 0.000
0.000 5.489 0.000
2.745 2.745 3.869
In Be C
2 4 2
Cartesian
5.489 2.745 1.935
0.000 0.000 0.000
2.749 4.117 0.967
6.861 5.485 2.902
4.117 5.493 2.902
2.740 1.372 0.967
2.745 5.489 1.935
2.745 2.745 0.000
```

Calculated values
Symmetry   I4_1/amd (141)
E_form   0.387 eV per atom
E above lowest polymorph   0 meV per atom

---

A geometry-optimized AcPm5Ho6 structure, computed with PBE.

POSCAR file:
```
AcPm5Ho6
1.0
-1.585 0.428 4.871
-8.212 -5.487 -2.190
8.720 -3.913 0.470
Ho Pm Ac
6 5 1
Cartesian
-0.286 -5.422 3.096
-4.854 -6.264 -1.029
-0.791 -3.550 0.055
5.828 -5.102 2.345
3.777 -2.708 4.180
-6.905 -3.870 0.805
0.505 -1.974 3.051
-3.621 -4.684 1.945
2.544 -4.288 1.205
-1.582 -6.998 0.100
-4.106 -2.744 -1.095
0.000 0.000 0.000
```

Calculated values
Symmetry   Immm (71)
E_form   0.029 eV per atom

---

A geometry-optimized ZrRe2Sb structure, computed with PBE.

POSCAR file:
```
ZrRe2Sb
1.0
4.930 -0.010 0.077
3.873 3.050 0.077
1.208 0.417 4.799
Sb Zr Re
1 1 2
Cartesian
7.509 2.593 3.715
2.503 0.864 1.238
1.247 0.431 4.760
4.967 1.715 2.516
```

Calculated values
E   -9.14 eV per atom
Symmetry   C2/m (12)

---

A geometry-optimized BeAl3Pb structure, computed with PBE.

POSCAR file:
```
BeAl3Pb
1.0
-0.052 -4.439 1.207
1.832 -1.127 -4.067
4.220 0.435 1.781
Be Al Pb
1 3 1
Cartesian
0.000 0.000 0.000
0.916 -0.563 -2.033
-0.026 -2.220 0.603
2.110 0.217 0.890
3.000 -2.566 -0.540
```

Calculated values
Symmetry   Pm-3m (221)
E_form   0.383 eV per atom
E above lowest polymorph   0 meV per atom

---

A geometry-optimized MgMn2As structure, computed with PBE.

POSCAR file:
```
MgMn2As
1.0
4.976 0.206 -0.174
1.921 4.595 0.174
-3.342 -2.554 2.673
Mn As Mg
2 1 1
Cartesian
2.537 0.023 1.249
6.895 4.799 0.000
3.454 2.404 0.000
1.016 2.222 1.424
```

Calculated values
Symmetry   Imm2 (44)
E_form   0.056 eV per atom

---

A geometry-optimized Nb7Re3 structure, computed with PBE.

POSCAR file:
```
Nb7Re3
1.0
5.861 0.000 0.000
0.000 8.470 0.000
0.000 -4.235 7.335
Nb Re
14 6
Cartesian
5.466 1.559 0.900
2.535 -2.676 6.435
3.917 2.381 3.516
2.867 0.000 4.890
2.535 2.676 6.435
5.466 4.235 5.535
2.535 0.000 1.800
0.986 -1.854 3.820
5.797 4.235 2.445
3.917 4.235 0.304
3.917 6.089 3.516
0.986 0.000 7.031
5.466 6.911 0.900
0.986 1.854 3.820
5.112 1.526 5.771
2.181 5.761 1.564
5.112 0.000 3.128
2.181 2.709 1.564
2.181 4.235 4.207
5.112 -1.526 5.771
```

Calculated values
Symmetry   P6_3mc (186)
E_form   0.122 eV per atom

---

A geometry-optimized SrThPb6 structure, computed with PBE.

POSCAR file:
```
SrThPb6
1.0
-2.202 -2.107 -3.895
-1.755 -3.579 2.928
-8.229 5.436 1.713
Pb Th Sr
6 1 1
Cartesian
-6.093 -0.125 0.373
-2.961 -0.413 1.897
-7.024 2.271 2.743
-3.184 0.323 -1.514
-7.247 3.007 -0.669
-1.979 -2.843 -0.484
-4.115 2.718 0.856
0.000 0.000 0.000
```

Calculated values
Symmetry   P4/mmm (123)
E_form   -0.290 eV per atom

---

A geometry-optimized AlCdBi2 structure, computed with PBE.

POSCAR file:
```
AlCdBi2
1.0
3.556 0.000 0.000
0.000 3.556 0.000
0.000 0.000 8.494
Cd Al Bi
1 1 2
Cartesian
1.778 1.778 4.247
1.778 1.778 0.000
0.000 0.000 1.939
0.000 0.000 6.555
```

Calculated values
Symmetry   P4/mmm (123)
E_form   0.166 eV per atom
E above lowest polymorph   12 meV per atom

---

A geometry-optimized CdBrCl3 structure, computed with PBE.

POSCAR file:
```
CdBrCl3
1.0
-0.172 5.124 0.974
-4.776 0.238 -2.091
-2.098 -0.960 4.681
Cd Cl Br
1 3 1
Cartesian
0.000 0.000 0.000
-0.086 2.562 0.487
-1.049 -0.480 2.341
-2.388 0.119 -1.046
-3.522 2.201 1.782
```

Calculated values
Symmetry   Pm-3m (221)
E above lowest polymorph   0 meV per atom

---

A geometry-optimized Zr2RuN structure, computed with PBE.

POSCAR file:
```
Zr2RuN
1.0
-3.131 2.191 -6.661
-1.543 -2.880 -0.222
-5.925 2.511 8.599
N Zr Ru
4 8 4
Cartesian
-7.515 2.158 0.076
-7.182 3.626 2.872
-4.991 0.931 -1.538
-3.781 2.343 -4.112
-5.825 1.532 -3.539
-4.021 0.260 0.414
-3.309 0.301 -5.061
-5.500 2.997 -0.651
-8.016 4.227 0.871
-6.696 1.566 2.067
-2.962 1.751 -2.122
-6.212 2.956 4.825
-3.963 1.919 2.641
-1.353 0.673 0.664
-1.772 -0.776 -1.769
-5.086 0.489 4.852
```

Calculated values
E   -9.62 eV per atom
Symmetry   Cm (8)